Tb2Y5Ho2: relaxed, PBE-GGA.

Output
**E above lowest polymorph**: 218 meV per atom
**Space group**: Ima2, No. 46

Unit cell a=11.6429 b=6.8281 c=10.0414 alpha=109.88 beta=125.43 gamma=90.00
Closest atoms and distances in Å follow each position.
Element x y z (fractional)
Ho1 0.1181 0.6902 0.2575  5 Y 3.35-3.70, 2 Tb 3.49-3.52, 1 Ho 3.61
Ho2 0.6394 0.1902 0.2575  5 Y 3.35-3.70, 2 Tb 3.49-3.52, 1 Ho 3.61
Ho3 0.3606 0.9327 0.7425  5 Y 3.35-3.70, 2 Tb 3.49-3.52, 1 Ho 3.61
Ho4 0.8819 0.4327 0.7425  5 Y 3.35-3.70, 2 Tb 3.49-3.52, 1 Ho 3.61
Y1 0.4020 0.5333 0.2853  4 Y 3.18-3.42, 1 Ho 3.36, 1 Tb 3.44
Y2 0.6167 0.7480 0.7147  4 Y 3.18-3.42, 1 Ho 3.36, 1 Tb 3.44
Y3 0.7868 0.7653 0.1072  4 Y 3.18-3.44, 1 Tb 3.22, 1 Ho 3.35
Y4 0.9828 0.6496 0.5000  4 Y 3.21-3.44, 1 Tb 3.27
Y5 0.3833 0.0333 0.2853  4 Y 3.18-3.42, 1 Ho 3.36, 1 Tb 3.44
Y6 0.1796 0.1582 0.8928  4 Y 3.18-3.44, 1 Tb 3.22, 1 Ho 3.35
Y7 0.8204 0.2653 0.1072  4 Y 3.18-3.44, 1 Tb 3.22, 1 Ho 3.35
Y8 0.2132 0.6582 0.8928  4 Y 3.18-3.44, 1 Tb 3.22, 1 Ho 3.35
Y9 0.0172 0.1496 0.5000  4 Y 3.21-3.44, 1 Tb 3.27
Y10 0.5980 0.2480 0.7147  4 Y 3.18-3.42, 1 Ho 3.36, 1 Tb 3.44
Tb1 0.7337 0.8710 0.5000  3 Y 3.27-3.44, 2 Ho 3.52
Tb2 0.5000 0.4877 0.0000  4 Y 3.22-3.58, 2 Ho 3.49
Tb3 0.0000 0.9877 0.0000  4 Y 3.22-3.58, 2 Ho 3.49
Tb4 0.2663 0.3710 0.5000  3 Y 3.27-3.44, 2 Ho 3.52

---

TbY2Ho: relaxed, PBE-GGA.

Output
**E above lowest polymorph**: 18 meV per atom
**Space group**: P4/mmm, No. 123

Unit cell a=3.5559 b=3.5559 c=10.0689 alpha=90.00 beta=90.00 gamma=90.00
Closest atoms and distances in Å follow each position.
Element x y z (fractional)
Tb1 0.5000 0.5000 0.5000  4 Tb 3.56, 8 Y 3.57
Ho1 0.5000 0.5000 0.0000  8 Y 3.55, 4 Ho 3.56
Y1 0.0000 0.0000 0.7511  4 Ho 3.55, 4 Y 3.56, 4 Tb 3.57
Y2 0.0000 0.0000 0.2489  4 Ho 3.55, 4 Y 3.56, 4 Tb 3.57

---

no.,magnetization (μB per formula unit),E_form (eV/f.u.)
1,0.00,2.16
2,0.00,0.09